1.
Material: BaSr2I6
Method: DFT, GGA-PBEsol
State: optimized geometry

Geometry as POSCAR:
```
BaSr2I6
1.0
6.356 0.000 -0.094
0.000 8.298 0.000
-1.119 0.000 15.081
Ba Sr I
2 4 12
Direct
0.500 0.500 0.500
0.000 0.000 0.000
0.373 0.882 0.752
0.127 0.382 0.748
0.873 0.618 0.252
0.627 0.118 0.248
0.324 0.155 0.597
0.089 0.670 0.597
0.875 0.031 0.766
0.625 0.531 0.734
0.411 0.170 0.903
0.176 0.655 0.903
0.824 0.345 0.097
0.589 0.830 0.097
0.375 0.469 0.266
0.125 0.969 0.234
0.911 0.330 0.403
0.676 0.845 0.403
```

Output
**Formation energy from raw total energies**: -1.661 eV per atom
**Spin magnetization**: 0.0 μB/f.u.
**N(E_F)**: 0.000 states/eV per cell



2.
Material: BaSr2I6
Method: DFT, GGA-PBEsol
State: optimized geometry

Geometry as POSCAR:
```
BaSr2I6
1.0
7.724 0.000 0.000
0.000 7.724 0.000
0.000 0.000 15.012
Ba Sr I
2 4 12
Direct
0.000 0.000 0.000
0.500 0.500 0.500
0.000 0.000 0.333
0.000 0.000 0.667
0.500 0.500 0.167
0.500 0.500 0.833
0.202 0.798 0.174
0.202 0.798 0.826
0.189 0.811 0.500
0.311 0.311 0.000
0.298 0.298 0.326
0.298 0.298 0.674
0.702 0.702 0.326
0.702 0.702 0.674
0.689 0.689 0.000
0.811 0.189 0.500
0.798 0.202 0.174
0.798 0.202 0.826
```

Output
**Formation energy from raw total energies**: -1.662 eV per atom
**Spin magnetization**: 0.0 μB/f.u.
**N(E_F)**: 0.000 states/eV per cell



3.
Material: Ba2SrI6
Method: DFT, GGA-PBEsol
State: optimized geometry

Geometry as POSCAR:
```
Ba2SrI6
1.0
8.087 0.000 0.000
0.000 8.087 0.000
0.000 0.000 24.366
Ba Sr I
8 4 24
Direct
0.000 0.500 0.165
0.000 0.000 0.335
0.000 0.000 0.665
0.000 0.500 0.835
0.500 0.500 0.335
0.500 0.000 0.165
0.500 0.000 0.835
0.500 0.500 0.665
0.000 0.000 0.000
0.000 0.500 0.500
0.500 0.000 0.500
0.500 0.500 0.000
0.249 0.750 0.580
0.249 0.751 0.080
0.249 0.249 0.920
0.250 0.749 0.420
0.250 0.250 0.250
0.250 0.250 0.750
0.250 0.750 0.750
0.250 0.750 0.250
0.251 0.749 0.920
0.250 0.249 0.420
0.251 0.251 0.080
0.251 0.250 0.580
0.749 0.750 0.580
0.749 0.749 0.080
0.750 0.751 0.420
0.749 0.251 0.920
0.750 0.250 0.250
0.750 0.250 0.750
0.750 0.750 0.750
0.750 0.750 0.250
0.750 0.251 0.420
0.751 0.751 0.920
0.751 0.249 0.080
0.751 0.250 0.580
```

Output
**Formation energy from raw total energies**: -1.731 eV per atom
**Spin magnetization**: 0.0 μB/f.u.
**N(E_F)**: 0.000 states/eV per cell



no.,energy above the lowest structure with this stoichiometry (meV per atom)
1,28.1
2,26.9
3,24.2